Density functional theory data (GGA+U) for a relaxed structure of CrCoMoO6.

The structure in POSCAR format:
```
CrCoMoO6
1.0
4.585 0.000 0.000
0.000 4.585 0.000
0.000 0.000 8.895
O Mo Co Cr
12 2 2 2
Direct
0.704 0.704 0.675 O
0.195 0.805 0.829 O
0.310 0.310 0.999 O
0.805 0.195 0.829 O
0.296 0.296 0.675 O
0.695 0.695 0.329 O
0.690 0.690 0.999 O
0.796 0.204 0.175 O
0.204 0.796 0.175 O
0.305 0.305 0.329 O
0.810 0.190 0.499 O
0.190 0.810 0.499 O
0.500 0.500 0.830 Mo
0.000 0.000 0.330 Mo
0.000 0.000 0.667 Co
0.500 0.500 0.167 Co
0.500 0.500 0.498 Cr
0.000 0.000 0.998 Cr
```

Calculated values
Crystal system ... tetragonal
Calculated total energy ... -6.936 eV per atom
Space group ... P4_2nm